The following is a GGA-PBE calculation of a geometry-optimized Nd2DyHo3 structure, from the Alexandria database.

final energy = -4.547 eV/atom
formation enthalpy at 0 K = 0.0987 eV/atom
mass density = 8.003 g/cm3
magnetic moment = 0.000 μB per atom
D(E_F) = 9.67 states/eV/f.u.
offset from the most stable computed form = 66.3 meV/atom
V = 785.0 Å³ per cell

Lattice parameters (Å, degrees): 17.0787 5.5855 10.0314 90.00 124.88 90.00
Space group C2/m (No. 12)
Asymmetric unit:
Nd  0.0087  0.0000  0.3582
Nd  0.2301  0.5000  0.3727
Dy  0.1329  0.5000  0.6368
Ho  0.0480  0.5000  0.8930
Ho  0.1132  0.0000  0.1554
Ho  0.2089  0.0000  0.9256

***

The following is a GGA-PBE calculation of a geometry-optimized Nd6DyHo6 structure, from the Alexandria database.

final energy = -4.397 eV/atom
formation enthalpy at 0 K = 0.2699 eV/atom
mass density = 7.477 g/cm3
magnetic moment = 0.003 μB per atom
D(E_F) = 28.18 states/eV/f.u.
V = 448.1 Å³ per cell

Lattice parameters (Å, degrees): 6.7345 6.7345 11.4078 90.00 90.00 120.00
Space group P6/mmm (No. 191)
Asymmetric unit:
Nd  0.0000  0.0000  0.1561
Nd  0.3333  0.6667  0.0000
Nd  0.3333  0.6667  0.5000
Dy  0.0000  0.0000  0.5000
Ho  0.0000  0.5000  0.2533

***

The following is a GGA-PBE calculation of a geometry-optimized Nd6Dy5Ho structure, from the Alexandria database.

final energy = -4.668 eV/atom
formation enthalpy at 0 K = 0.0154 eV/atom
mass density = 7.674 g/cm3
magnetic moment = 0.000 μB per atom
D(E_F) = 15.75 states/eV/f.u.
V = 797.5 Å³ per cell

Lattice parameters (Å, degrees): 5.1256 10.1403 15.3439 90.00 90.00 90.00
Space group Immm (No. 71)
Asymmetric unit:
Nd  0.0000  0.2499  0.0000
Nd  0.0000  0.2501  0.3333
Dy  0.0000  0.0000  0.1665
Dy  0.0000  0.0000  0.5000
Dy  0.0000  0.5000  0.1666
Ho  0.0000  0.5000  0.5000

***

The following is a GGA-PBE calculation of a geometry-optimized Nd2Dy9Ho3 structure, from the Alexandria database.

final energy = -4.253 eV/atom
formation enthalpy at 0 K = 0.3675 eV/atom
mass density = 7.832 g/cm3
magnetic moment = 0.000 μB per atom
D(E_F) = 18.54 states/eV/f.u.
V = 952.3 Å³ per cell

Lattice parameters (Å, degrees): 17.0116 8.9903 6.2339 90.00 92.76 90.00
Space group C2/m (No. 12)
Asymmetric unit:
Nd  0.0000  0.1944  0.0000
Dy  0.0000  0.0000  0.5000
Dy  0.1614  0.2093  0.3411
Dy  0.1615  0.3390  0.8373
Ho  0.0000  0.5000  0.5000
Ho  0.1936  0.0000  0.8194

***

The following is a GGA-PBE calculation of a geometry-optimized Nd15Dy4Ho structure, from the Alexandria database.

final energy = -4.714 eV/atom
formation enthalpy at 0 K = 0.0117 eV/atom
mass density = 7.227 g/cm3
magnetic moment = 0.000 μB per atom
D(E_F) = 27.38 states/eV/f.u.
V = 684.4 Å³ per cell

Lattice parameters (Å, degrees): 5.1609 5.1609 25.6944 90.00 90.00 90.00
Space group P4/mmm (No. 123)
Asymmetric unit:
Nd  0.0000  0.0000  0.0000
Nd  0.0000  0.0000  0.2000
Nd  0.0000  0.0000  0.4000
Nd  0.0000  0.5000  0.0999
Nd  0.0000  0.5000  0.3001
Nd  0.0000  0.5000  0.5000
Dy  0.5000  0.5000  0.2000
Dy  0.5000  0.5000  0.4000
Ho  0.5000  0.5000  0.0000

***

The following is a GGA-PBE calculation of a geometry-optimized Nd4Dy9Ho11 structure, from the Alexandria database.

final energy = -4.559 eV/atom
formation enthalpy at 0 K = 0.0595 eV/atom
mass density = 8.306 g/cm3
magnetic moment = 0.000 μB per atom
D(E_F) = 30.09 states/eV/f.u.
V = 1540.9 Å³ per cell

Lattice parameters (Å, degrees): 16.6708 25.0686 3.6872 90.00 90.00 90.00
Space group Cmmm (No. 65)
Asymmetric unit:
Nd  0.1543  0.1003  0.0000
Dy  0.0000  0.0000  0.0000
Dy  0.1018  0.2360  0.0000
Dy  0.1386  0.4270  0.0000
Ho  0.0000  0.1358  0.5000
Ho  0.0000  0.3407  0.5000
Ho  0.0000  0.5000  0.5000
Ho  0.2134  0.0000  0.5000
Ho  0.2257  0.3188  0.5000

***

The following is a GGA-PBE calculation of a geometry-optimized Nd2Dy15Ho2 structure, from the Alexandria database.

final energy = -4.340 eV/atom
formation enthalpy at 0 K = 0.2766 eV/atom
mass density = 7.980 g/cm3
magnetic moment = 0.005 μB per atom
D(E_F) = 36.22 states/eV/f.u.
V = 1907.7 Å³ per cell

Lattice parameters (Å, degrees): 11.2176 11.2176 17.5058 90.00 90.00 120.00
Space group R-3m (No. 166, hexagonal axes)
Asymmetric unit:
Nd  0.0000  0.0000  0.1734
Dy  0.0000  0.2970  0.5000
Dy  0.0000  0.5000  0.0000
Dy  0.0115  0.5058  0.6373
Ho  0.0000  0.0000  0.4037

***

The following is a GGA-PBE calculation of a geometry-optimized Nd4Dy3Ho3 structure, from the Alexandria database.

final energy = -4.557 eV/atom
formation enthalpy at 0 K = 0.1039 eV/atom
mass density = 7.813 g/cm3
magnetic moment = 0.000 μB per atom
D(E_F) = 8.58 states/eV/f.u.
V = 662.8 Å³ per cell

Lattice parameters (Å, degrees): 3.8165 13.1828 13.1736 90.00 90.00 90.00
Space group Amm2 (No. 38)
Asymmetric unit:
Nd  0.0000  0.0000  0.0000
Nd  0.0000  0.0000  0.2620
Nd  0.0000  0.1312  0.6311
Dy  0.0000  0.2504  0.3809
Dy  0.5000  0.0000  0.4626
Ho  0.5000  0.0000  0.7994
Ho  0.5000  0.1684  0.1310

***

The following is a GGA-PBE calculation of a geometry-optimized Nd5Dy2Ho2 structure, from the Alexandria database.

final energy = -4.518 eV/atom
formation enthalpy at 0 K = 0.1711 eV/atom
mass density = 7.491 g/cm3
magnetic moment = 0.000 μB per atom
D(E_F) = 11.77 states/eV/f.u.
offset from the most stable computed form = 153.3 meV/atom
V = 1220.1 Å³ per cell

Lattice parameters (Å, degrees): 15.1683 12.9110 6.2303 90.00 90.00 90.00
Space group Ima2 (No. 46)
Asymmetric unit:
Nd  0.0488  0.1997  0.0000
Nd  0.1438  0.6848  0.8417
Nd  0.2500  0.1764  0.7529
Dy  0.0000  0.0000  0.4085
Dy  0.2500  0.0561  0.2779
Ho  0.1352  0.5495  0.3464

***

The following is a GGA-PBE calculation of a geometry-optimized NdDy3Ho6 structure, from the Alexandria database.

final energy = -4.321 eV/atom
formation enthalpy at 0 K = 0.2830 eV/atom
mass density = 8.350 g/cm3
magnetic moment = 0.000 μB per atom
D(E_F) = 20.87 states/eV/f.u.
offset from the most stable computed form = 133.7 meV/atom
V = 967.3 Å³ per cell

Lattice parameters (Å, degrees): 9.7946 9.7946 11.6430 90.00 90.00 120.00
Space group R3 (No. 146, hexagonal axes)
Asymmetric unit:
Nd  0.0000  0.0000  0.0000
Dy  0.0000  0.0000  0.2502
Dy  0.0000  0.0000  0.4991
Dy  0.0000  0.0000  0.7450
Ho  0.0014  0.3324  0.0024
Ho  0.0015  0.6713  0.5025

***

The following is a GGA-PBE calculation of a geometry-optimized NdDy4Ho10 structure, from the Alexandria database.

final energy = -4.119 eV/atom
formation enthalpy at 0 K = 0.4779 eV/atom
mass density = 7.916 g/cm3
magnetic moment = 0.000 μB per atom
D(E_F) = 28.18 states/eV/f.u.
V = 1025.2 Å³ per cell

Lattice parameters (Å, degrees): 9.7620 9.7620 10.7576 90.00 90.00 90.00
Space group I4/m (No. 87)
Asymmetric unit:
Nd  0.0000  0.0000  0.0000
Dy  0.0547  0.7097  0.5000
Ho  0.0000  0.5000  0.2500
Ho  0.1218  0.7800  0.1690

***

The following is a GGA-PBE calculation of a geometry-optimized NdDy12Ho5 structure, from the Alexandria database.

final energy = -4.585 eV/atom
formation enthalpy at 0 K = 0.0191 eV/atom
mass density = 8.563 g/cm3
magnetic moment = 0.000 μB per atom
D(E_F) = 24.75 states/eV/f.u.
V = 1132.0 Å³ per cell

Lattice parameters (Å, degrees): 15.0216 15.0454 5.0087 90.00 90.00 90.00
Space group Cmmm (No. 65)
Asymmetric unit:
Nd  0.0000  0.0000  0.0000
Dy  0.1661  0.3336  0.5000
Dy  0.1661  0.5000  0.0000
Dy  0.1673  0.1673  0.0000
Dy  0.1679  0.0000  0.5000
Ho  0.0000  0.1678  0.5000
Ho  0.0000  0.3334  0.0000
Ho  0.0000  0.5000  0.5000

***

The following is a GGA-PBE calculation of a geometry-optimized Nd12DyHo6 structure, from the Alexandria database.

final energy = -4.567 eV/atom
formation enthalpy at 0 K = 0.1324 eV/atom
mass density = 7.323 g/cm3
magnetic moment = 0.000 μB per atom
D(E_F) = 32.42 states/eV/f.u.
offset from the most stable computed form = 116.6 meV/atom
V = 1961.2 Å³ per cell

Lattice parameters (Å, degrees): 12.1624 12.1624 15.3096 90.00 90.00 120.00
Space group R-3 (No. 148, hexagonal axes)
Asymmetric unit:
Nd  0.0024  0.8287  0.1915
Nd  0.0472  0.8495  0.4163
Dy  0.0000  0.0000  0.0000
Ho  0.0163  0.4282  0.6872

***

The following is a GGA-PBE calculation of a geometry-optimized Nd3Dy4Ho8 structure, from the Alexandria database.

final energy = -4.230 eV/atom
formation enthalpy at 0 K = 0.3918 eV/atom
mass density = 7.999 g/cm3
magnetic moment = 0.000 μB per atom
D(E_F) = 29.55 states/eV/f.u.
V = 997.3 Å³ per cell

Lattice parameters (Å, degrees): 13.3799 12.8043 6.7367 90.00 120.22 90.00
Space group C2/m (No. 12)
Asymmetric unit:
Nd  0.0000  0.0000  0.0000
Nd  0.2500  0.2500  0.0000
Dy  0.0000  0.5000  0.0000
Dy  0.0000  0.5000  0.5000
Dy  0.2500  0.2500  0.5000
Ho  0.0000  0.1407  0.5000
Ho  0.0000  0.2468  0.0000
Ho  0.2320  0.0000  0.9647
Ho  0.2380  0.0000  0.4925

***

The following is a GGA-PBE calculation of a geometry-optimized Nd4DyHo6 structure, from the Alexandria database.

final energy = -4.352 eV/atom
formation enthalpy at 0 K = 0.2975 eV/atom
mass density = 7.626 g/cm3
magnetic moment = 0.000 μB per atom
D(E_F) = 14.14 states/eV/f.u.
offset from the most stable computed form = 129.9 meV/atom
V = 753.0 Å³ per cell

Lattice parameters (Å, degrees): 6.6534 6.6534 17.0093 90.00 90.00 90.00
Space group I-42m (No. 121)
Asymmetric unit:
Nd  0.1896  0.1896  0.3243
Dy  0.0000  0.0000  0.5000
Ho  0.0000  0.5000  0.0000
Ho  0.1779  0.1779  0.1246

***

The following is a GGA-PBE calculation of a geometry-optimized Nd3DyHo2 structure, from the Alexandria database.

final energy = -4.092 eV/atom
formation enthalpy at 0 K = 0.5849 eV/atom
mass density = 6.630 g/cm3
magnetic moment = 0.000 μB per atom
D(E_F) = 10.52 states/eV/f.u.
offset from the most stable computed form = 587.5 meV/atom
V = 926.8 Å³ per cell

Lattice parameters (Å, degrees): 11.1196 12.3102 6.7709 90.00 90.00 90.00
Space group Ibam (No. 72)
Asymmetric unit:
Nd  0.0000  0.0000  0.2500
Nd  0.0000  0.2649  0.2500
Dy  0.0000  0.5000  0.0000
Ho  0.2432  0.1750  0.0000

***

The following is a GGA-PBE calculation of a geometry-optimized Nd3Dy3Ho4 structure, from the Alexandria database.

final energy = -4.545 eV/atom
formation enthalpy at 0 K = 0.0972 eV/atom
mass density = 7.958 g/cm3
magnetic moment = 0.000 μB per atom
D(E_F) = 7.88 states/eV/f.u.
V = 659.3 Å³ per cell

Lattice parameters (Å, degrees): 3.6863 13.3424 13.4056 90.00 90.00 90.00
Space group Amm2 (No. 38)
Asymmetric unit:
Nd  0.0000  0.0000  0.0000
Nd  0.0000  0.1742  0.6728
Dy  0.0000  0.0000  0.3475
Dy  0.5000  0.2468  0.4218
Ho  0.5000  0.0000  0.5471
Ho  0.5000  0.0000  0.7983
Ho  0.5000  0.1242  0.1757

***

The following is a GGA-PBE calculation of a geometry-optimized Nd4DyHo8 structure, from the Alexandria database.

final energy = -4.121 eV/atom
formation enthalpy at 0 K = 0.5175 eV/atom
mass density = 7.224 g/cm3
magnetic moment = 0.126 μB per atom
D(E_F) = 20.84 states/eV/f.u.
V = 1419.9 Å³ per cell

Lattice parameters (Å, degrees): 11.0273 11.0273 13.4826 90.00 90.00 120.00
Space group R-3m (No. 166, hexagonal axes)
Asymmetric unit:
Nd  0.0000  0.0000  0.0000
Nd  0.0000  0.5000  0.0000
Dy  0.0000  0.0000  0.5000
Ho  0.0000  0.0000  0.2401
Ho  0.0129  0.5064  0.7465